# 1
Here is a geometry-optimized TcOs structure from the Alexandria database. Energies are from PBE.

a = 4.361 Å, b = 2.757 Å, c = 4.787 Å
α = 90.00°, β = 90.00°, γ = 90.00°
Positions (direct):
Tc1 0.250 0.000 0.167
Tc2 0.750 0.000 0.833
Os1 0.250 0.500 0.667
Os2 0.750 0.500 0.333

Values from the calculation:
* N(E_F): 0.72 states/eV per atom
* magnetic moment: 0.000 μB per atom
* distance to the lowest polymorph of the same formula: 0.000 eV/atom
* uncorrected energy: -43.53 eV for the cell shown



# 2
Here is a geometry-optimized RbIr4S8 structure from the Alexandria database. Energies are from PBE.

a = 8.006 Å, b = 8.006 Å, c = 11.079 Å
α = 126.44°, β = 126.44°, γ = 26.28°
Positions (direct):
Rb1 0.000 0.000 0.000
Ir1 0.134 0.134 0.468
Ir2 0.341 0.341 0.180
Ir3 0.659 0.659 0.820
Ir4 0.866 0.866 0.532
S1 0.042 0.042 0.755
S2 0.286 0.286 0.923
S3 0.329 0.329 0.641
S4 0.395 0.395 0.428
S5 0.605 0.605 0.572
S6 0.671 0.671 0.359
S7 0.714 0.714 0.077
S8 0.958 0.958 0.245

Values from the calculation:
* N(E_F): 0.48 states/eV per atom
* magnetic moment: 0.000 μB per atom
* uncorrected energy: -76.16 eV for the cell shown
* formation energy from raw total energies: -6.73 eV per formula unit



# 3
Here is a geometry-optimized K5Au2I structure from the Alexandria database. Energies are from PBE.

a = 10.391 Å, b = 10.391 Å, c = 10.391 Å
α = 129.03°, β = 129.03°, γ = 74.96°
Positions (direct):
K1 0.000 0.000 0.000
K2 0.036 0.536 0.842
K3 0.194 0.036 0.500
K4 0.306 0.806 0.842
K5 0.464 0.306 0.500
K6 0.500 0.500 0.000
K7 0.536 0.694 0.500
K8 0.694 0.194 0.158
K9 0.806 0.964 0.500
K10 0.964 0.464 0.158
Au1 0.115 0.385 0.500
Au2 0.385 0.885 0.269
Au3 0.615 0.115 0.731
Au4 0.885 0.615 0.500
I1 0.250 0.250 0.000
I2 0.750 0.750 0.000

Values from the calculation:
* N(E_F): 0.71 states/eV per atom
* magnetic moment: 0.015 μB per atom
* uncorrected energy: -35.19 eV for the cell shown
* formation energy from raw total energies: -4.00 eV per formula unit



# 4
Here is a geometry-optimized MgBPd3 structure from the Alexandria database. Energies are from PBE.

a = 7.289 Å, b = 7.289 Å, c = 5.083 Å
α = 90.00°, β = 90.00°, γ = 137.30°
Positions (direct):
Mg1 0.170 0.830 0.750
Mg2 0.830 0.170 0.250
B1 0.443 0.557 0.750
B2 0.557 0.443 0.250
Pd1 0.000 0.000 0.000
Pd2 0.000 0.000 0.500
Pd3 0.083 0.407 0.750
Pd4 0.407 0.083 0.250
Pd5 0.593 0.917 0.750
Pd6 0.917 0.593 0.250

Values from the calculation:
* N(E_F): 0.34 states/eV per atom
* magnetic moment: 0.000 μB per atom
* distance to the lowest polymorph of the same formula: 0.773 eV/atom
* uncorrected energy: -44.83 eV for the cell shown